# 1
Density functional theory data (PBE) for crystalline Sr4Y2Zn at its relaxed geometry.

Lattice parameters (Å, degrees): 6.0653 6.0653 17.8196 90.00 90.00 90.00
Last column: nearest neighbours and their distance in Å.
Space group I4/mmm (No. 139)
Inequivalent atoms, fractional coordinates:
Sr  0.0000  0.0000  0.1767 (multiplicity 4)  1 Zn 3.15
Sr  0.0000  0.5000  0.0000 (multiplicity 4)  2 Zn 3.03
Y  0.0000  0.0000  0.3921 (multiplicity 4)  5 Sr 3.59-3.84, 1 Y 3.84
Zn  0.0000  0.0000  0.0000 (multiplicity 2)  6 Sr 3.03-3.15

**ΔH_f (0 K)**: 0.42 eV per atom
**Total DFT energy (no corrections)**: -2.57 eV per atom


# 2
Density functional theory data (PBE) for crystalline SrY3Zn4 at its relaxed geometry.

Lattice parameters (Å, degrees): 10.3231 7.2953 5.1628 90.00 90.00 90.00
Last column: nearest neighbours and their distance in Å.
Space group Pmma (No. 51)
Inequivalent atoms, fractional coordinates:
Sr  0.0000  0.0000  0.0000 (multiplicity 2)  8 Zn 3.24
Y  0.0000  0.5000  0.0000 (multiplicity 2)  8 Zn 3.08
Y  0.2500  0.0000  0.4992 (multiplicity 2)  8 Zn 3.24
Y  0.2500  0.5000  0.4989 (multiplicity 2)  8 Zn 3.08-3.09
Zn  0.0000  0.2687  0.5000 (multiplicity 4)  6 Y 3.08-3.24, 2 Sr 3.24, 1 Zn 3.37
Zn  0.2500  0.2686  0.9985 (multiplicity 4)  6 Y 3.08-3.24, 2 Sr 3.24, 1 Zn 3.38

**ΔH_f (0 K)**: -0.28 eV per atom
**Total DFT energy (no corrections)**: -3.55 eV per atom


# 3
Density functional theory data (PBE) for crystalline SrY2Zn2 at its relaxed geometry.

Lattice parameters (Å, degrees): 8.5627 8.5627 3.7767 90.00 90.00 90.00
Last column: nearest neighbours and their distance in Å.
Space group P4/mbm (No. 127)
Inequivalent atoms, fractional coordinates:
Sr  0.0000  0.0000  0.0000 (multiplicity 2)  4 Zn 3.34, 8 Y 3.74
Y  0.1568  0.3432  0.5000 (multiplicity 4)  6 Zn 3.12-3.17
Zn  0.1330  0.6330  0.0000 (multiplicity 4)  6 Y 3.12-3.17, 1 Zn 3.22, 2 Sr 3.34

**Distance to the lowest polymorph of the same formula**: 0.00 eV per formula unit
**ΔH_f (0 K)**: -0.13 eV per atom
**Total DFT energy (no corrections)**: -3.56 eV per atom